(1)
An optimized crystal structure of SrLi2Pr2Si2, computed with GGA-PBE.

Unit cell a=4.6687 b=4.6687 c=28.4766 alpha=90.00 beta=90.00 gamma=120.00
Closest atoms and distances in Å follow each position.
Space group R-3m (No. 166, hexagonal axes)
Symmetry-distinct sites (fractional):
Sr 0.0000 0.0000 0.0000 [3 per cell]  6 Li 3.44, 6 Si 3.53, 2 Pr 3.67
Li 0.0000 0.0000 0.4084 [6 per cell]  3 Si 2.70
Pr 0.0000 0.0000 0.1289 [6 per cell]  3 Si 3.04, 3 Li 3.10
Si 0.0000 0.0000 0.2535 [6 per cell]  3 Li 2.70

Properties
Uncorrected formation energy in eV per atom: -0.357
Density of states at the Fermi level in states/eV/cell: 10.4
DFT total energy in eV/atom: -4.059



(2)
An optimized crystal structure of Li2Tb2PrSi2, computed with GGA-PBE.

Unit cell a=4.5071 b=4.5071 c=26.8805 alpha=90.00 beta=90.00 gamma=120.00
Closest atoms and distances in Å follow each position.
Space group R-3m (No. 166, hexagonal axes)
Symmetry-distinct sites (fractional):
Li 0.0000 0.0000 0.0937 [6 per cell]  3 Si 2.60
Tb 0.0000 0.0000 0.3713 [6 per cell]  3 Si 2.98, 3 Li 3.00, 3 Tb 3.31
Pr 0.0000 0.0000 0.5000 [3 per cell]  6 Li 3.26, 6 Si 3.29, 2 Tb 3.46
Si 0.0000 0.0000 0.2416 [6 per cell]  3 Li 2.60

Properties
Uncorrected formation energy in eV per atom: -0.398
Density of states at the Fermi level in states/eV/cell: 11.1
DFT total energy in eV/atom: -4.500



(3)
An optimized crystal structure of Li2TbPrSi2, computed with GGA-PBE.

Unit cell a=4.4400 b=4.4400 c=7.3883 alpha=90.00 beta=90.00 gamma=120.00
Closest atoms and distances in Å follow each position.
Space group P-3m1 (No. 164)
Symmetry-distinct sites (fractional):
Li 0.3333 0.6667 0.2196 [2 per cell]  3 Si 2.57
Tb 0.0000 0.0000 0.0000 [1 per cell]  6 Li 3.03, 6 Si 3.10
Pr 0.0000 0.0000 0.5000 [1 per cell]  6 Si 3.22, 6 Li 3.30
Si 0.3333 0.6667 0.7640 [2 per cell]  3 Li 2.57

Properties
Uncorrected formation energy in eV per atom: -0.548
Density of states at the Fermi level in states/eV/cell: 1.4
DFT total energy in eV/atom: -4.562



(4)
An optimized crystal structure of Li2TbPr2Si2, computed with GGA-PBE.

Unit cell a=4.4325 b=4.4325 c=28.8891 alpha=90.00 beta=90.00 gamma=120.00
Closest atoms and distances in Å follow each position.
Space group R-3m (No. 166, hexagonal axes)
Symmetry-distinct sites (fractional):
Li 0.0000 0.0000 0.1119 [6 per cell]  3 Si 2.57
Tb 0.0000 0.0000 0.5000 [3 per cell]  6 Li 3.01, 6 Si 3.11
Pr 0.0000 0.0000 0.3773 [6 per cell]  3 Si 3.12, 3 Li 3.22
Si 0.0000 0.0000 0.2278 [6 per cell]  3 Li 2.57

Properties
Uncorrected formation energy in eV per atom: -0.390
Density of states at the Fermi level in states/eV/cell: 16.3
DFT total energy in eV/atom: -4.513



(5)
An optimized crystal structure of Li2Pr2ThSi2, computed with GGA-PBE.

Unit cell a=4.4796 b=4.4796 c=28.9227 alpha=90.00 beta=90.00 gamma=120.00
Closest atoms and distances in Å follow each position.
Space group R-3m (No. 166, hexagonal axes)
Symmetry-distinct sites (fractional):
Li 0.0000 0.0000 0.1038 [6 per cell]  3 Si 2.59
Pr 0.0000 0.0000 0.3763 [6 per cell]  3 Li 3.13, 3 Si 3.13
Th 0.0000 0.0000 0.5000 [3 per cell]  6 Si 3.16, 6 Li 3.16
Si 0.0000 0.0000 0.2292 [6 per cell]  3 Li 2.59

Properties
Uncorrected formation energy in eV per atom: -0.347
Density of states at the Fermi level in states/eV/cell: 13.4
DFT total energy in eV/atom: -4.869



(6)
An optimized crystal structure of LiPrThSi, computed with GGA-PBE.

Unit cell a=7.3055 b=7.3055 c=7.3055 alpha=90.00 beta=90.00 gamma=90.00
Closest atoms and distances in Å follow each position.
Space group F-43m (No. 216)
Symmetry-distinct sites (fractional):
Li 0.0000 0.0000 0.0000 [4 per cell]  4 Th 3.16, 4 Pr 3.16
Pr 0.2500 0.2500 0.7500 [4 per cell]  4 Li 3.16, 4 Si 3.16
Th 0.2500 0.2500 0.2500 [4 per cell]  4 Li 3.16, 4 Si 3.16
Si 0.0000 0.0000 0.5000 [4 per cell]  4 Th 3.16, 4 Pr 3.16

Properties
Uncorrected formation energy in eV per atom: -0.198
Density of states at the Fermi level in states/eV/cell: 11.4
DFT total energy in eV/atom: -5.082



(7)
An optimized crystal structure of Li2PrTm2Si2, computed with GGA-PBE.

Unit cell a=4.4915 b=4.4915 c=26.2928 alpha=90.00 beta=90.00 gamma=120.00
Closest atoms and distances in Å follow each position.
Space group R-3m (No. 166, hexagonal axes)
Symmetry-distinct sites (fractional):
Li 0.0000 0.0000 0.0901 [6 per cell]  3 Si 2.59
Pr 0.0000 0.0000 0.5000 [3 per cell]  6 Li 3.28, 6 Si 3.30, 2 Tm 3.41
Tm 0.0000 0.0000 0.3705 [6 per cell]  3 Si 2.93, 3 Li 2.94, 3 Tm 3.25
Si 0.0000 0.0000 0.2442 [6 per cell]  3 Li 2.59

Properties
Uncorrected formation energy in eV per atom: -0.397
Density of states at the Fermi level in states/eV/cell: 10.5
DFT total energy in eV/atom: -4.454



(8)
An optimized crystal structure of Li2Pr2YSi2, computed with GGA-PBE.

Unit cell a=4.4215 b=4.4215 c=29.0224 alpha=90.00 beta=90.00 gamma=120.00
Closest atoms and distances in Å follow each position.
Space group R-3m (No. 166, hexagonal axes)
Symmetry-distinct sites (fractional):
Li 0.0000 0.0000 0.1124 [6 per cell]  3 Si 2.56
Pr 0.0000 0.0000 0.3776 [6 per cell]  3 Si 3.12, 3 Li 3.23
Y 0.0000 0.0000 0.5000 [3 per cell]  6 Li 3.00, 6 Si 3.10
Si 0.0000 0.0000 0.2274 [6 per cell]  3 Li 2.56

Properties
Uncorrected formation energy in eV per atom: -0.399
Density of states at the Fermi level in states/eV/cell: 15.6
DFT total energy in eV/atom: -4.784



(9)
An optimized crystal structure of Li2PrZn2Si2, computed with GGA-PBE.

Unit cell a=4.2082 b=4.2082 c=24.2708 alpha=90.00 beta=90.00 gamma=120.00
Closest atoms and distances in Å follow each position.
Space group R-3m (No. 166, hexagonal axes)
Symmetry-distinct sites (fractional):
Li 0.0000 0.0000 0.1420 [6 per cell]  4 Si 2.68-2.85, 3 Zn 2.68, 3 Li 2.71
Pr 0.0000 0.0000 0.0000 [3 per cell]  6 Si 3.12, 6 Zn 3.35, 2 Li 3.45
Zn 0.0000 0.0000 0.4283 [6 per cell]  3 Si 2.45, 3 Li 2.68
Si 0.0000 0.0000 0.2524 [6 per cell]  3 Zn 2.45, 1 Li 2.68

Properties
Uncorrected formation energy in eV per atom: -0.459
Density of states at the Fermi level in states/eV/cell: 3.0
DFT total energy in eV/atom: -3.603



(10)
An optimized crystal structure of LiPrZnSi2, computed with GGA-PBE.

Unit cell a=4.1760 b=4.1760 c=10.5300 alpha=90.00 beta=90.00 gamma=90.00
Closest atoms and distances in Å follow each position.
Space group I-4m2 (No. 119)
Symmetry-distinct sites (fractional):
Li 0.0000 0.0000 0.0000 [2 per cell]  4 Si 2.54
Pr 0.0000 0.5000 0.7500 [2 per cell]  8 Si 3.18, 4 Li 3.36, 4 Zn 3.36
Zn 0.0000 0.0000 0.5000 [2 per cell]  4 Si 2.54
Si 0.0000 0.5000 0.1379 [4 per cell]  1 Si 2.36, 2 Li 2.54, 2 Zn 2.54

Properties
Uncorrected formation energy in eV per atom: -0.496
Density of states at the Fermi level in states/eV/cell: 3.7
DFT total energy in eV/atom: -4.258



(11)
An optimized crystal structure of LiPrSm, computed with GGA-PBE.

Unit cell a=3.5800 b=3.5800 c=8.4896 alpha=90.00 beta=90.00 gamma=120.00
Closest atoms and distances in Å follow each position.
Space group P3m1 (No. 156)
Symmetry-distinct sites (fractional):
Li 0.0000 0.0000 0.0000 [1 per cell]  3 Sm 3.44, 3 Pr 3.48, 6 Li 3.58
Pr 0.3333 0.6667 0.6701 [1 per cell]  3 Li 3.48, 6 Pr 3.58, 3 Sm 3.59
Sm 0.6667 0.3333 0.3239 [1 per cell]  3 Li 3.44, 6 Sm 3.58, 3 Pr 3.59

Properties
ΔH_f (0 K) in meV per atom: 99
Density of states at the Fermi level in states/eV/cell: 3.2
DFT total energy in eV/atom: -3.705
Polymorph energy (0 for the lowest one) in eV/f.u.: 0.18



(12)
An optimized crystal structure of Li2PrSm, computed with GGA-PBE.

Unit cell a=3.8041 b=3.8041 c=7.6813 alpha=90.00 beta=90.00 gamma=90.00
Closest atoms and distances in Å follow each position.
Space group P4/mmm (No. 123)
Symmetry-distinct sites (fractional):
Li 0.0000 0.0000 0.2465 [2 per cell]  4 Sm 3.29, 4 Pr 3.32
Pr 0.5000 0.5000 0.5000 [1 per cell]  8 Li 3.32
Sm 0.5000 0.5000 0.0000 [1 per cell]  8 Li 3.29

Properties
ΔH_f (0 K) in meV per atom: 151
Density of states at the Fermi level in states/eV/cell: 6.8
DFT total energy in eV/atom: -3.180



(13)
An optimized crystal structure of LiPr2Sm, computed with GGA-PBE.

Unit cell a=3.5672 b=3.5672 c=37.6612 alpha=90.00 beta=90.00 gamma=120.00
Closest atoms and distances in Å follow each position.
Space group R-3m (No. 166, hexagonal axes)
Symmetry-distinct sites (fractional):
Li 0.0000 0.0000 0.0000 [3 per cell]  2 Pr 3.33, 6 Li 3.57
Pr 0.0000 0.0000 0.0884 [6 per cell]  1 Li 3.33, 6 Pr 3.57, 3 Sm 3.59
Sm 0.0000 0.0000 0.5000 [3 per cell]  6 Sm 3.57, 6 Pr 3.59

Properties
ΔH_f (0 K) in meV per atom: 165
Density of states at the Fermi level in states/eV/cell: 16.1
DFT total energy in eV/atom: -3.883
Polymorph energy (0 for the lowest one) in eV/f.u.: 0.43